An optimized crystal structure of LiCuNiF6, computed with PBE with a Hubbard U.

extended XYZ file:
```
18
Lattice="4.6490 0.0001 0.0000 0.0001 4.6490 0.0000 0.0000 0.0000 9.1066" Properties=species:S:1:pos:R:3 pbc="T T T"
Li 2.3246 2.3246 4.5529
Li 0.0000 0.0000 9.1060
Cu 2.3246 2.3246 7.5793
Cu 0.0000 0.0000 3.0256
Ni 2.3246 2.3246 1.5400
Ni 0.0000 0.0000 6.0920
F 0.8924 3.7567 4.4967
F 3.7567 0.8924 4.4967
F 1.4325 1.4325 9.0510
F 3.2166 3.2166 9.0510
F 0.8976 3.7515 1.5602
F 3.7515 0.8976 1.5602
F 1.4272 1.4272 6.1135
F 3.2220 3.2220 6.1135
F 3.6930 0.9561 7.5965
F 0.9561 3.6930 7.5965
F 3.2808 3.2808 3.0439
F 1.3683 1.3683 3.0439
```

## Properties
- final energy (eV/atom) = -4.196